First-principles (PBE) data for a geometry-optimized Pm2DySi2Ni2 structure, as listed in Alexandria.

a = 4.0588 Å, b = 4.0588 Å, c = 11.2460 Å
α = 79.60°, β = 79.60°, γ = 60.00°
Fractional positions:
1 Pm 0.1145 0.1145 0.6566
2 Dy 0.0000 0.0000 0.0000
3 Pm 0.8855 0.8855 0.3434
4 Si 0.2748 0.2748 0.1756
5 Ni 0.6093 0.6093 0.1721
6 Ni 0.3907 0.3907 0.8279
7 Si 0.7252 0.7252 0.8244

## Properties
Symmetry   R-3m (166)
Total magnetic moment   0.873 μB/cell
VASP energy   -41.01 eV per formula unit
V   156.93 Å³/cell